Entry 1:
This record from the Alexandria database describes crystalline Ce2TiAl at its relaxed geometry. The functional is GGA-PBE.

```
Ce2TiAl
1.0
3.8140 0.0000 0.0000
0.0000 3.8140 0.0000
0.0000 0.0000 6.6409
Ce Ti Al
2 1 1
direct
0.0000 0.0000 0.2425
0.0000 0.0000 0.7575
0.5000 0.5000 0.5000
0.5000 0.5000 0.0000
```

## Properties
- space group = P4/mmm
- polymorph energy (0 for the lowest one) (meV/atom) = 138.4
- formation energy (eV/atom) = 0.026
- mass density (g/cm³) = 6.10
- magnetic moment (μB per cell) = 3.3
- crystal system = tetragonal

---

Entry 2:
This record from the Alexandria database describes crystalline Ce2TiAl at its relaxed geometry. The functional is GGA-PBE.

```
Ce2TiAl
1.0
0.0000 3.6398 3.6398
3.6398 0.0000 3.6398
3.6398 3.6398 0.0000
Ce Ti Al
2 1 1
direct
0.2500 0.2500 0.2500
0.7500 0.7500 0.7500
0.0000 0.0000 0.0000
0.5000 0.5000 0.5000
```

## Properties
- space group = Fm-3m
- polymorph energy (0 for the lowest one) (meV/atom) = 134.7
- formation energy (eV/atom) = 0.022
- mass density (g/cm³) = 6.11
- magnetic moment (μB per cell) = 2.8
- crystal system = cubic

---

Entry 3:
This record from the Alexandria database describes crystalline CeTiAl at its relaxed geometry. The functional is GGA-PBE.

```
CeTiAl
1.0
4.8225 0.0000 0.0000
-2.4113 4.1764 0.0000
0.0000 0.0000 2.8971
Ce Ti Al
1 1 1
direct
0.0000 0.0000 0.0000
0.3333 0.6667 0.0000
0.6667 0.3333 0.5000
```

## Properties
- space group = P-6m2
- polymorph energy (0 for the lowest one) (meV/atom) = 20.0
- formation energy (eV/atom) = 0.005
- mass density (g/cm³) = 6.12
- magnetic moment (μB per cell) = 0.0
- crystal system = hexagonal

---

Entry 4:
This record from the Alexandria database describes crystalline CeTmTiAl at its relaxed geometry. The functional is GGA-PBE.

```
CeTmTiAl
1.0
0.0000 3.6234 3.6234
3.6234 0.0000 3.6234
3.6234 3.6234 0.0000
Ce Tm Ti Al
1 1 1 1
direct
0.0000 0.0000 0.0000
0.5000 0.5000 0.5000
0.2500 0.2500 0.2500
0.7500 0.7500 0.7500
```

## Properties
- space group = F-43m
- formation energy (eV/atom) = -0.033
- mass density (g/cm³) = 6.70
- magnetic moment (μB per cell) = 3.1
- crystal system = cubic

---

Entry 5:
This record from the Alexandria database describes crystalline CeZrTiAl at its relaxed geometry. The functional is GGA-PBE.

```
CeZrTiAl
1.0
0.0000 3.5044 3.5044
3.5044 0.0000 3.5044
3.5044 3.5044 0.0000
Ce Zr Ti Al
1 1 1 1
direct
0.0000 0.0000 0.0000
0.5000 0.5000 0.5000
0.7500 0.7500 0.7500
0.2500 0.2500 0.2500
```

## Properties
- space group = F-43m
- formation energy (eV/atom) = -0.051
- mass density (g/cm³) = 5.91
- magnetic moment (μB per cell) = 1.1
- crystal system = cubic

---

Entry 6:
This record from the Alexandria database describes crystalline Ce4AlTl at its relaxed geometry. The functional is GGA-PBE.

```
Ce4AlTl
1.0
4.5557 -6.5008 0.0000
4.5557 6.5008 0.0000
-1.9694 0.0000 5.2696
Ce Al Tl
8 2 2
direct
0.0722 0.6849 0.8349
0.1822 0.3952 0.6281
0.3151 0.9278 0.6651
0.3952 0.1822 0.1281
0.6048 0.8178 0.8719
0.6849 0.0722 0.3349
0.8178 0.6048 0.3719
0.9278 0.3151 0.1651
0.0196 0.9804 0.2500
0.9804 0.0196 0.7500
0.3850 0.6150 0.2500
0.6150 0.3850 0.7500
```

## Properties
- space group = C2/c
- polymorph energy (0 for the lowest one) (meV/atom) = 0.0
- formation energy (eV/atom) = -0.184
- mass density (g/cm³) = 8.43
- magnetic moment (μB per cell) = 0.0
- crystal system = monoclinic

---

Entry 7:
This record from the Alexandria database describes crystalline Ce5AlTl2 at its relaxed geometry. The functional is GGA-PBE.

```
Ce5AlTl2
1.0
-3.9077 3.9077 3.6364
3.9077 -3.9077 3.6364
3.9077 3.9077 -3.6364
Ce Al Tl
5 1 2
direct
0.0000 0.0000 0.0000
0.0000 0.0000 0.5000
0.0000 0.5000 0.0000
0.5000 0.0000 0.0000
0.5000 0.5000 0.5000
0.5000 0.5000 0.0000
0.0000 0.5000 0.5000
0.5000 0.0000 0.5000
```

## Properties
- space group = I4/mmm
- polymorph energy (0 for the lowest one) (meV/atom) = 35.8
- formation energy (eV/atom) = -0.125
- mass density (g/cm³) = 8.50
- magnetic moment (μB per cell) = 6.1
- crystal system = tetragonal

---

Entry 8:
This record from the Alexandria database describes crystalline CeAl2Tl at its relaxed geometry. The functional is GGA-PBE.

```
CeAl2Tl
1.0
0.0000 3.5956 3.5956
3.5956 0.0000 3.5956
3.5956 3.5956 0.0000
Ce Al Tl
1 2 1
direct
0.0000 0.0000 0.0000
0.2500 0.2500 0.2500
0.7500 0.7500 0.7500
0.5000 0.5000 0.5000
```

## Properties
- space group = Fm-3m
- polymorph energy (0 for the lowest one) (meV/atom) = 240.7
- formation energy (eV/atom) = 0.014
- mass density (g/cm³) = 7.12
- magnetic moment (μB per cell) = 0.8
- crystal system = cubic

---

Question: Which formula does entry 6 have?
Answer: Ce4AlTl